The following is a DFT calculation (GGA-PBEsol) of Ce2Ga9Ru3 after structural relaxation.

Cell and atoms, written as POSCAR:
```
Ce2Ga9Ru3
1.0
6.437 -3.778 0.000
6.437 3.778 0.000
0.000 0.000 9.491
Ce Ga Ru
4 18 6
direct
0.000 0.327 0.250
0.000 0.673 0.750
0.327 0.000 0.750
0.673 0.000 0.250
0.008 0.662 0.078
0.008 0.662 0.422
0.131 0.869 0.250
0.337 0.663 0.559
0.337 0.663 0.941
0.338 0.992 0.078
0.338 0.992 0.422
0.340 0.449 0.250
0.449 0.340 0.750
0.551 0.660 0.250
0.660 0.551 0.750
0.662 0.008 0.578
0.662 0.008 0.922
0.663 0.337 0.059
0.663 0.337 0.441
0.869 0.131 0.750
0.992 0.338 0.578
0.992 0.338 0.922
0.000 0.000 0.000
0.000 0.000 0.500
0.326 0.326 0.000
0.326 0.326 0.500
0.674 0.674 0.000
0.674 0.674 0.500
```

Summary:
VASP energy   -0.428 Ry/atom